Record 1
VASP calculation (PBE) on an optimized crystal structure of AgTe2Au.

The density of states at the Fermi level is 3.0 states/eV/cell.

Lattice parameters (Å, degrees): 3.240 4.487 8.180 90.01 100.82 90.02
Space group P1 (No. 1)
Inequivalent atoms, fractional coordinates:
Ag: 0.000 0.000 0.000
Te: 0.171 0.998 0.352
Te: 0.437 0.500 0.872
Au: 0.267 0.498 0.539

---

Record 2
VASP calculation (PBE) on an optimized crystal structure of AgTe2Au.

The density of states at the Fermi level is 2.3 states/eV/cell.

Lattice parameters (Å, degrees): 3.892 4.196 6.268 90.00 90.00 90.00
Space group Pmmm (No. 47)
Inequivalent atoms, fractional coordinates:
Ag: 0.000 0.000 0.000
Te: 0.000 0.500 0.500
Te: 0.500 0.500 0.000
Au: 0.500 0.000 0.500

---

Record 3
VASP calculation (PBE) on an optimized crystal structure of AgTe6Au.

The density of states at the Fermi level is 4.1 states/eV/cell.

Lattice parameters (Å, degrees): 6.497 6.749 6.828 61.61 65.03 63.59
Space group P-1 (No. 2)
Inequivalent atoms, fractional coordinates:
Ag: 0.000 0.000 0.000
Te: 0.043 0.469 0.709
Te: 0.264 0.956 0.532
Te: 0.488 0.748 0.024
Au: 0.500 0.500 0.500

---

Record 4
VASP calculation (PBE) on an optimized crystal structure of Ag4Te5Au.

The density of states at the Fermi level is 5.4 states/eV/cell.

Lattice parameters (Å, degrees): 5.838 7.188 7.201 80.55 66.31 66.11
Space group P-1 (No. 2)
Inequivalent atoms, fractional coordinates:
Ag: 0.101 0.195 0.102
Ag: 0.297 0.603 0.304
Te: 0.000 0.000 0.500
Te: 0.210 0.373 0.706
Te: 0.417 0.794 0.874
Au: 0.500 0.000 0.500

---

Record 5
VASP calculation (PBE) on an optimized crystal structure of AgTe6Au2.

The density of states at the Fermi level is 16.1 states/eV/cell.

Lattice parameters (Å, degrees): 14.782 9.646 8.303 90.00 111.86 90.00
Space group C2/c (No. 15)
Inequivalent atoms, fractional coordinates:
Ag: 0.000 0.140 0.250
Te: 0.090 0.140 0.004
Te: 0.106 0.429 0.977
Te: 0.180 0.224 0.571
Au: 0.233 0.466 0.788

---

Record 6
VASP calculation (PBE) on an optimized crystal structure of Ag12Te5Au3.

The density of states at the Fermi level is 71.8 states/eV/cell.

Lattice parameters (Å, degrees): 16.136 16.136 16.136 90.00 90.00 90.00
Space group Ia-3d (No. 230)
Inequivalent atoms, fractional coordinates:
Ag: 0.007 0.076 0.654
Te: 0.000 0.000 0.000
Te: 0.000 0.250 0.375
Au: 0.000 0.250 0.125

---

Record 7
VASP calculation (PBE) on an optimized crystal structure of Ag5Te6Au.

The density of states at the Fermi level is 3.8 states/eV/cell.

Lattice parameters (Å, degrees): 6.981 7.041 8.170 67.35 66.43 80.15
Space group P-1 (No. 2)
Inequivalent atoms, fractional coordinates:
Ag: 0.000 0.000 0.000
Ag: 0.332 0.495 0.834
Ag: 0.333 0.004 0.335
Te: 0.050 0.748 0.659
Te: 0.278 0.246 0.668
Te: 0.381 0.753 0.993
Au: 0.000 0.500 0.500

---

Record 8
VASP calculation (PBE) on an optimized crystal structure of AgTe2Au.

The density of states at the Fermi level is 2.2 states/eV/cell.

Lattice parameters (Å, degrees): 3.201 4.040 8.082 90.00 93.32 90.00
Space group P2/m (No. 10)
Inequivalent atoms, fractional coordinates:
Ag: 0.000 0.000 0.000
Te: 0.064 0.500 0.742
Au: 0.000 0.000 0.500

---

Record 9
VASP calculation (PBE) on an optimized crystal structure of Ag2Te8Au.

The density of states at the Fermi level is 6.1 states/eV/cell.

Lattice parameters (Å, degrees): 6.259 6.874 8.641 107.10 95.16 95.84
Space group P-1 (No. 2)
Inequivalent atoms, fractional coordinates:
Ag: 0.135 0.087 0.284
Te: 0.130 0.791 0.473
Te: 0.196 0.858 0.963
Te: 0.356 0.328 0.901
Te: 0.457 0.653 0.645
Au: 0.000 0.500 0.000

---

Record 10
VASP calculation (PBE) on an optimized crystal structure of Ag2Te5Au2.

The density of states at the Fermi level is 4.2 states/eV/cell.

Lattice parameters (Å, degrees): 4.167 7.601 8.662 104.26 103.89 90.19
Space group P-1 (No. 2)
Inequivalent atoms, fractional coordinates:
Ag: 0.075 0.327 0.149
Te: 0.216 0.643 0.433
Te: 0.412 0.912 0.822
Te: 0.500 0.500 0.000
Au: 0.348 0.207 0.699

---

Record 11
VASP calculation (PBE) on an optimized crystal structure of Ag2Te2Au.

The density of states at the Fermi level is 3.5 states/eV/cell.

Lattice parameters (Å, degrees): 8.931 3.961 7.854 90.00 110.21 90.00
Space group C2/m (No. 12)
Inequivalent atoms, fractional coordinates:
Ag: 0.169 0.000 0.082
Te: 0.000 0.500 0.255
Au: 0.000 0.000 0.500

---

Record 12
VASP calculation (PBE) on an optimized crystal structure of AgTe2Au.

The density of states at the Fermi level is 11.6 states/eV/cell.

Lattice parameters (Å, degrees): 6.302 6.302 12.624 90.00 90.00 90.00
Space group I-42d (No. 122)
Inequivalent atoms, fractional coordinates:
Ag: 0.000 0.000 0.000
Te: 0.243 0.250 0.625
Au: 0.000 0.000 0.500

---

| no. | total energy (eV per formula unit) |
| --- | --- |
| 1 | -12.4 |
| 2 | -11.6 |
| 3 | -24.0 |
| 4 | -30.5 |
| 5 | -28.1 |
| 6 | -57.2 |
| 7 | -36.8 |
| 8 | -12.3 |
| 9 | -33.4 |
| 10 | -27.6 |
| 11 | -15.3 |
| 12 | -12.3 |